Na2SrSnS4 | the Alexandria database | PBE | optimized geometry; formation energy (no corrections) = -1102 meV/atom; D(E_F) = 0.02 states/eV per cell
1.0
-3.9642 4.1535 5.7936
3.9642 -4.1535 5.7936
3.9642 4.1535 -5.7936
Na Sr Sn S
4 2 2 8
Direct
0.0000 0.0000 0.0000
0.5000 0.0000 0.0000
0.5000 0.0000 0.5000
0.5000 0.5000 0.5000
0.0000 0.5000 0.5000
0.5000 0.5000 0.0000
0.0000 0.0000 0.5000
0.0000 0.5000 0.0000
0.2194 0.2123 0.4928
0.2194 0.7266 0.0072
0.2209 0.2462 0.9747
0.2285 0.7538 0.4747
0.7715 0.2462 0.5253
0.7791 0.7538 0.0253
0.7806 0.2734 0.9928
0.7806 0.7877 0.5072

=====

Na3TaSn3S8 | the Alexandria database | PBE | optimized geometry; formation energy (no corrections) = -813 meV/atom; D(E_F) = 2.49 states/eV per cell
1.0
6.7220 -3.9033 0.0000
6.7220 3.9033 0.0000
-4.4588 0.0000 6.7909
Na Ta Sn S
3 1 3 8
Direct
0.0000 0.0000 0.0000
0.0000 0.5000 0.0000
0.5000 0.0000 0.0000
0.0000 0.0000 0.5000
0.0000 0.5000 0.5000
0.5000 0.0000 0.5000
0.5000 0.5000 0.5000
0.2190 0.7638 0.7043
0.2210 0.2210 0.7051
0.2362 0.7810 0.2957
0.2526 0.2526 0.2622
0.7474 0.7474 0.7378
0.7638 0.2190 0.7043
0.7790 0.7790 0.2949
0.7810 0.2362 0.2957

=====

Na2TaSnS4 | the Alexandria database | PBE | optimized geometry; formation energy (no corrections) = -813 meV/atom
1.0
-3.8624 3.8624 3.5740
3.8624 -3.8624 3.5740
3.8624 3.8624 -3.5740
Na Ta Sn S
2 1 1 4
Direct
0.0000 0.0000 0.0000
0.7500 0.2500 0.5000
0.5000 0.5000 0.0000
0.2500 0.7500 0.5000
0.1426 0.1424 0.6581
0.4842 0.4845 0.3419
0.5155 0.8574 0.9997
0.8576 0.5158 0.0003